[1]
This record from Alexandria via LeMat-Bulk describes a relaxed Ca2SnF crystal. The functional is PBE.

Unit cell a=3.8784 b=3.8784 c=22.5171 alpha=90.00 beta=90.00 gamma=120.00
With the nearest neighbours (Å) after each atom.
Fractional positions:
Ca1 0.0000 0.0000 0.2350  3 F 2.72
Ca2 0.0000 0.0000 0.7650  3 F 2.72
Ca3 0.3333 0.6667 0.4317  3 F 2.72
Ca4 0.3333 0.6667 0.9016  3 F 2.72
Ca5 0.6667 0.3333 0.0984  3 F 2.72
Ca6 0.6667 0.3333 0.5683  3 F 2.72
Sn1 0.0000 0.0000 0.0000  6 Ca 3.15
Sn2 0.3333 0.6667 0.6667  6 Ca 3.15
Sn3 0.6667 0.3333 0.3333  6 Ca 3.15
F1 0.0000 0.0000 0.5000  6 Ca 2.72
F2 0.3333 0.6667 0.1667  6 Ca 2.72
F3 0.6667 0.3333 0.8333  6 Ca 2.72

Calculated values
Space group: R-3m
Formation energy without anion corrections (meV/atom): -1502
E above lowest polymorph (meV/atom): 114.8



[2]
This record from Alexandria via LeMat-Bulk describes a relaxed LiSm2Ir crystal. The functional is PBE.

Unit cell a=7.1055 b=7.1055 c=7.1055 alpha=90.00 beta=90.00 gamma=90.00
With the nearest neighbours (Å) after each atom.
Fractional positions:
Li1 0.0000 0.0000 0.0000  8 Sm 3.08
Li2 0.0000 0.5000 0.5000  8 Sm 3.08
Li3 0.5000 0.0000 0.5000  8 Sm 3.08
Li4 0.5000 0.5000 0.0000  8 Sm 3.08
Sm1 0.2500 0.2500 0.2500  4 Li 3.08, 4 Ir 3.08
Sm2 0.2500 0.2500 0.7500  4 Ir 3.08, 4 Li 3.08
Sm3 0.2500 0.7500 0.2500  4 Ir 3.08, 4 Li 3.08
Sm4 0.2500 0.7500 0.7500  4 Li 3.08, 4 Ir 3.08
Sm5 0.7500 0.2500 0.2500  4 Ir 3.08, 4 Li 3.08
Sm6 0.7500 0.2500 0.7500  4 Li 3.08, 4 Ir 3.08
Sm7 0.7500 0.7500 0.2500  4 Li 3.08, 4 Ir 3.08
Sm8 0.7500 0.7500 0.7500  4 Ir 3.08, 4 Li 3.08
Ir1 0.0000 0.0000 0.5000  8 Sm 3.08
Ir2 0.0000 0.5000 0.0000  8 Sm 3.08
Ir3 0.5000 0.0000 0.0000  8 Sm 3.08
Ir4 0.5000 0.5000 0.5000  8 Sm 3.08

Calculated values
Space group: Fm-3m
Formation energy (eV per atom): -0.46



[3]
This record from Alexandria via LeMat-Bulk describes a relaxed SnBr3N2 crystal. The functional is PBE.

Unit cell a=20.8247 b=5.5060 c=4.0699 alpha=90.00 beta=100.56 gamma=90.00
With the nearest neighbours (Å) after each atom.
Fractional positions:
Sn1 0.0000 0.0000 0.0000  6 Br 2.75-2.83
Sn2 0.5000 0.5000 0.0000  6 Br 2.75-2.83
Br1 0.0000 0.5000 0.0000  2 Sn 2.75
Br2 0.0958 0.0000 0.5898  2 Sn 2.83
Br3 0.4042 0.5000 0.4102  2 Sn 2.83
Br4 0.5000 0.0000 0.0000  2 Sn 2.75
Br5 0.5958 0.5000 0.5898  2 Sn 2.83
Br6 0.9042 0.0000 0.4102  2 Sn 2.83
N1 0.2033 0.5000 0.7057  2 Br 3.52, 4 N 3.92
N2 0.2967 0.0000 0.2943  2 Br 3.52, 4 N 3.92
N3 0.7033 0.0000 0.7057  2 Br 3.52, 4 N 3.92
N4 0.7967 0.5000 0.2943  2 Br 3.52, 4 N 3.92

Calculated values
Space group: C2/m
Formation energy without anion corrections (meV/atom): 1323



[4]
This record from Alexandria via LeMat-Bulk describes a relaxed BeNi2Te crystal. The functional is PBE.

Unit cell a=3.8080 b=3.8080 c=15.9571 alpha=90.00 beta=90.00 gamma=90.00
With the nearest neighbours (Å) after each atom.
Fractional positions:
Be1 0.0000 0.0000 0.0000  4 Ni 2.36
Be2 0.0000 0.5000 0.2500  4 Ni 2.36
Be3 0.5000 0.0000 0.7500  4 Ni 2.36
Be4 0.5000 0.5000 0.5000  4 Ni 2.36
Ni1 0.2165 0.2500 0.1250  2 Be 2.36, 2 Te 2.46, 2 Ni 2.52
Ni2 0.2500 0.7165 0.3750  2 Be 2.36, 2 Te 2.46, 2 Ni 2.52
Ni3 0.2500 0.7835 0.8750  2 Be 2.36, 2 Te 2.46, 2 Ni 2.52
Ni4 0.2835 0.2500 0.6250  2 Be 2.36, 2 Te 2.46, 2 Ni 2.52
Ni5 0.7165 0.7500 0.6250  2 Be 2.36, 2 Te 2.46, 2 Ni 2.52
Ni6 0.7500 0.2165 0.8750  2 Be 2.36, 2 Te 2.46, 2 Ni 2.52
Ni7 0.7500 0.2835 0.3750  2 Be 2.36, 2 Te 2.46, 2 Ni 2.52
Ni8 0.7835 0.7500 0.1250  2 Be 2.36, 2 Te 2.46, 2 Ni 2.52
Te1 0.0000 0.0000 0.5000  4 Ni 2.46, 4 Be 2.69
Te2 0.0000 0.5000 0.7500  4 Ni 2.46, 4 Be 2.69
Te3 0.5000 0.0000 0.2500  4 Ni 2.46, 4 Be 2.69
Te4 0.5000 0.5000 0.0000  4 Ni 2.46, 4 Be 2.69

Calculated values
Space group: I-42d
Formation energy without anion corrections (meV/atom): 178
E above lowest polymorph (meV/atom): 206.1



[5]
This record from Alexandria via LeMat-Bulk describes a relaxed CsCd2GaRu crystal. The functional is PBE.

Unit cell a=5.4148 b=5.4148 c=4.8934 alpha=90.00 beta=90.00 gamma=90.00
With the nearest neighbours (Å) after each atom.
Fractional positions:
Cs1 0.0000 0.0000 0.0000  8 Cd 3.65, 4 Ga 3.83
Cd1 0.0000 0.5000 0.5000  2 Ru 2.71
Cd2 0.5000 0.0000 0.5000  2 Ru 2.71
Ga1 0.5000 0.5000 0.0000  2 Ru 2.45
Ru1 0.5000 0.5000 0.5000  2 Ga 2.45, 4 Cd 2.71

Calculated values
Space group: P4/mmm
Formation energy (eV per atom): 0.04



[6]
This record from Alexandria via LeMat-Bulk describes a relaxed Co2TcMoH crystal. The functional is PBE.

Unit cell a=3.6654 b=3.6654 c=3.9430 alpha=90.00 beta=90.00 gamma=90.00
With the nearest neighbours (Å) after each atom.
Fractional positions:
Co1 0.0000 0.5000 0.0000  2 H 1.83
Co2 0.5000 0.0000 0.0000  2 H 1.83
Tc1 0.0000 0.0000 0.5000  4 Mo 2.59, 8 Co 2.69
Mo1 0.5000 0.5000 0.5000  2 H 1.97
H1 0.5000 0.5000 0.0000  4 Co 1.83, 2 Mo 1.97

Calculated values
Space group: P4/mmm
E above lowest polymorph (meV/atom): 30.5



no.,M_tot (μB/atom),Fermi-level density of states (states/eV per cell)
1,0.0000,6.09
2,0.0000,11.77
3,0.9970,2.68
4,0.0000,6.42
5,0.0000,1.74
6,0.0042,5.24